(1)
Here is Zr2CdSb after structural relaxation from the Alexandria database. Energies are from PBE.

## Properties
As for the formation energy (no corrections): -0.331 eV/atom. As for the calculated volume: 22.1 Å³ per atom.

a = 4.5099 Å, b = 4.5099 Å, c = 8.6773 Å
α = 90.00°, β = 90.00°, γ = 90.00°
Last column: nearest neighbours and their distance in Å.
Space group I4/mmm (No. 139)
Asymmetric unit:
Zr1 0.0000 0.5000 0.2500 [4 per cell]  4 Cd 3.13, 4 Sb 3.13, 4 Zr 3.19
Cd1 0.0000 0.0000 0.0000 [2 per cell]  8 Zr 3.13, 4 Sb 3.19
Sb1 0.0000 0.0000 0.5000 [2 per cell]  8 Zr 3.13, 4 Cd 3.19



(2)
Here is LiAl6Ni5 after structural relaxation from the Alexandria database. Energies are from PBE.

## Properties
The energy of formation from the pure elements is -585 meV per atom. As for the calculated volume: 12.3 Å³ per atom.

a = 4.1019 Å, b = 12.3049 Å, c = 5.8410 Å
α = 90.00°, β = 90.00°, γ = 90.00°
Last column: nearest neighbours and their distance in Å.
Space group Cmmm (No. 65)
Asymmetric unit:
Li1 0.0000 0.0000 0.0000 [2 per cell]  8 Al 2.53-2.55
Al1 0.0000 0.1690 0.2527 [8 per cell]  7 Ni 2.49-2.53, 1 Li 2.55
Al2 0.0000 0.5000 0.2544 [4 per cell]  6 Ni 2.50-2.53, 2 Li 2.53
Ni1 0.0000 0.0000 0.5000 [2 per cell]  8 Al 2.50-2.53
Ni2 0.0000 0.3336 0.0000 [4 per cell]  8 Al 2.51-2.53
Ni3 0.0000 0.3340 0.5000 [4 per cell]  8 Al 2.49-2.51



(3)
Here is Y6MgRh after structural relaxation from the Alexandria database. Energies are from PBE.

## Properties
The energy of formation from the pure elements is 8 meV per atom. As for the calculated volume: 32.5 Å³ per atom.

a = 6.9401 Å, b = 6.9456 Å, c = 7.3997 Å
α = 90.07°, β = 117.89°, γ = 119.95°
Last column: nearest neighbours and their distance in Å.
Space group P-1 (No. 2)
Asymmetric unit:
Y1 0.0438 0.0775 0.2524 [2 per cell]  1 Rh 2.70
Y2 0.2858 0.7084 0.2521 [2 per cell]  1 Rh 2.70
Y3 0.3241 0.5330 0.7478 [2 per cell]  1 Rh 2.70
Mg1 0.5000 0.0000 0.0000 [1 per cell]  6 Y 3.06-3.07
Rh1 0.5000 0.5000 0.5000 [1 per cell]  6 Y 2.70



(4)
Here is HfTi3P after structural relaxation from the Alexandria database. Energies are from PBE.

## Properties
The energy of formation from the pure elements is -625 meV per atom. As for the calculated volume: 16.9 Å³ per atom.

a = 8.4900 Å, b = 3.4343 Å, c = 11.6146 Å
α = 90.00°, β = 90.00°, γ = 90.00°
Last column: nearest neighbours and their distance in Å.
Space group Pnma (No. 62)
Asymmetric unit:
Hf1 0.1678 0.2500 0.0083 [4 per cell]  2 P 2.71
Ti1 0.0625 0.2500 0.4167 [4 per cell]  3 P 2.53-2.56, 3 Ti 2.72-2.80
Ti2 0.0816 0.7500 0.2213 [4 per cell]  2 P 2.54-2.61, 4 Ti 2.74-2.84
Ti3 0.1693 0.7500 0.7891 [4 per cell]  2 P 2.54, 5 Ti 2.72-2.84
P1 0.1475 0.2500 0.6283 [4 per cell]  7 Ti 2.53-2.61, 2 Hf 2.71



(5)
Here is NaLaGaTe2 after structural relaxation from the Alexandria database. Energies are from PBE.

## Properties
As for the formation energy (no corrections): -0.336 eV/atom. As for the calculated volume: 30.6 Å³ per atom.

a = 5.6045 Å, b = 5.6045 Å, c = 4.8740 Å
α = 90.00°, β = 90.00°, γ = 90.00°
Last column: nearest neighbours and their distance in Å.
Space group P4/mmm (No. 123)
Asymmetric unit:
Na1 0.0000 0.0000 0.0000 [1 per cell]  2 Ga 2.44
La1 0.5000 0.5000 0.5000 [1 per cell]  8 Te 3.71, 4 Ga 3.96
Ga1 0.0000 0.0000 0.5000 [1 per cell]  2 Na 2.44
Te1 0.0000 0.5000 0.0000 [2 per cell]  2 Na 2.80



(6)
Here is Ce4FeIr after structural relaxation from the Alexandria database. Energies are from PBE.

## Properties
The energy of formation from the pure elements is -269 meV per atom. As for the calculated volume: 22.6 Å³ per atom.

a = 8.5569 Å, b = 12.1892 Å, c = 5.8326 Å
α = 90.00°, β = 117.16°, γ = 90.00°
Last column: nearest neighbours and their distance in Å.
Space group C2/c (No. 15)
Asymmetric unit:
Ce1 0.1176 0.1717 0.0858 [8 per cell]  2 Fe 2.69-2.72, 2 Ir 2.99-3.01
Ce2 0.1815 0.4159 0.3073 [8 per cell]  2 Ce 2.86-3.19, 2 Ir 2.94-2.97, 2 Fe 2.96-3.07
Fe1 0.0000 0.0006 0.7500 [4 per cell]  6 Ce 2.69-2.96, 2 Fe 2.92
Ir1 0.0000 0.3709 0.7500 [4 per cell]  8 Ce 2.94-3.01



(7)
Here is CeOsC after structural relaxation from the Alexandria database. Energies are from PBE.

## Properties
The energy of formation from the pure elements is -97 meV per atom. As for the calculated volume: 16.1 Å³ per atom.

a = 3.4517 Å, b = 3.4517 Å, c = 9.3679 Å
α = 90.00°, β = 90.00°, γ = 120.00°
Last column: nearest neighbours and their distance in Å.
Space group P6_3mc (No. 186)
Asymmetric unit:
Ce1 0.3333 0.6667 0.0000 [2 per cell]  4 C 2.67-2.90
Os1 0.0000 0.0000 0.2550 [2 per cell]  3 C 2.06
C1 0.3333 0.6667 0.3100 [2 per cell]  3 Os 2.06



(8)
Here is TaRuRh2 after structural relaxation from the Alexandria database. Energies are from PBE.

## Properties
The energy of formation from the pure elements is -254 meV per atom. As for the calculated volume: 15.0 Å³ per atom.

a = 9.1259 Å, b = 2.7935 Å, c = 4.7924 Å
α = 90.00°, β = 100.46°, γ = 90.00°
Last column: nearest neighbours and their distance in Å.
Space group Cm (No. 8)
Asymmetric unit:
Ta1 0.0000 0.0000 0.0000 [2 per cell]  7 Rh 2.73-2.80, 2 Ta 2.79, 3 Ru 2.80-2.82
Ru1 0.2510 0.5000 0.2724 [2 per cell]  7 Rh 2.70-2.83, 2 Ru 2.79, 3 Ta 2.80-2.82
Rh1 0.2517 0.0000 0.7587 [2 per cell]  4 Ru 2.72-2.83, 3 Ta 2.73-2.75, 5 Rh 2.77-2.81
Rh2 0.4977 0.0000 0.4938 [2 per cell]  3 Ru 2.70-2.71, 4 Ta 2.75-2.80, 5 Rh 2.77-2.81



(9)
Here is Mg12Au3N5 after structural relaxation from the Alexandria database. Energies are from PBE.

## Properties
As for the formation energy (no corrections): -0.469 eV/atom. As for the calculated volume: 16.8 Å³ per atom.

a = 13.9002 Å, b = 13.9002 Å, c = 13.9002 Å
α = 90.00°, β = 90.00°, γ = 90.00°
Last column: nearest neighbours and their distance in Å.
Space group Ia-3d (No. 230)
Asymmetric unit:
Mg1 0.0358 0.0499 0.6455 [96 per cell]  2 N 2.03-2.19
Au1 0.0000 0.2500 0.1250 [24 per cell]  8 Mg 2.75-2.84
N1 0.0000 0.0000 0.0000 [16 per cell]  6 Mg 2.19
N2 0.0000 0.2500 0.3750 [24 per cell]  4 Mg 2.03



(10)
Here is TaIn2Pb after structural relaxation from the Alexandria database. Energies are from PBE.

## Properties
The energy of formation from the pure elements is 443 meV per atom. As for the calculated volume: 23.2 Å³ per atom.

a = 6.4541 Å, b = 9.1573 Å, c = 3.1349 Å
α = 90.00°, β = 90.00°, γ = 90.00°
Last column: nearest neighbours and their distance in Å.
Space group Cmmm (No. 65)
Asymmetric unit:
Ta1 0.0000 0.0000 0.0000 [2 per cell]  2 Ta 3.13, 8 In 3.21, 2 Pb 3.23
In1 0.2500 0.2500 0.5000 [4 per cell]  4 In 3.13-3.23, 4 Ta 3.21, 4 Pb 3.21
Pb1 0.0000 0.5000 0.0000 [2 per cell]  2 Pb 3.13, 8 In 3.21, 2 Ta 3.23



(11)
Here is Ac3Cu2Ag4 after structural relaxation from the Alexandria database. Energies are from PBE.

## Properties
The energy of formation from the pure elements is -253 meV per atom. As for the calculated volume: 26.1 Å³ per atom.

a = 11.5303 Å, b = 4.7364 Å, c = 9.0582 Å
α = 90.00°, β = 108.09°, γ = 90.00°
Last column: nearest neighbours and their distance in Å.
Space group C2/m (No. 12)
Asymmetric unit:
Ac1 0.0000 0.0000 0.0000 [2 per cell]  8 Ag 3.31-3.47, 4 Cu 3.41
Ac2 0.1677 0.5000 0.6622 [4 per cell]  4 Cu 3.31-3.43, 8 Ag 3.33-3.49
Cu1 0.1079 0.5000 0.2803 [4 per cell]  3 Ag 2.66-2.67
Ag1 0.0562 0.0000 0.3816 [4 per cell]  2 Cu 2.67, 1 Ag 2.83
Ag2 0.2185 0.5000 0.0629 [4 per cell]  1 Cu 2.66, 2 Ag 2.82



(12)
Here is Er2UF11 after structural relaxation from the Alexandria database. Energies are from PBE.

## Properties
As for the formation energy (no corrections): -3.835 eV/atom. As for the calculated volume: 16.2 Å³ per atom.

a = 7.9959 Å, b = 10.2281 Å, c = 11.0833 Å
α = 90.00°, β = 90.00°, γ = 90.00°
Last column: nearest neighbours and their distance in Å.
Space group Ibam (No. 72)
Asymmetric unit:
Er1 0.1336 0.1822 0.0000 [8 per cell]  7 F 2.12-2.32
U1 0.0000 0.5000 0.2500 [4 per cell]  8 F 2.18-2.25
F1 0.0000 0.0000 0.0000 [4 per cell]  2 Er 2.15
F2 0.0990 0.3226 0.1532 [16 per cell]  1 Er 2.24, 1 U 2.25
F3 0.1280 0.2264 0.5000 [8 per cell]  2 Er 2.12-2.14
F4 0.2053 0.4385 0.3656 [16 per cell]  1 U 2.18, 1 Er 2.32



Number 1: D(E_F) 2.6 states/eV/f.u., spin magnetization 0.00 Bohr magnetons per cell. Number 2: D(E_F) 4.2 states/eV/f.u., spin magnetization 0.00 Bohr magnetons per cell. Number 3: D(E_F) 11.4 states/eV/f.u., spin magnetization 0.00 Bohr magnetons per cell. Number 4: D(E_F) 6.7 states/eV/f.u., spin magnetization 0.01 Bohr magnetons per cell. Number 5: D(E_F) 4.4 states/eV/f.u., spin magnetization 0.00 Bohr magnetons per cell. Number 6: D(E_F) 13.6 states/eV/f.u., spin magnetization 0.03 Bohr magnetons per cell. Number 7: D(E_F) 2.8 states/eV/f.u., spin magnetization 0.00 Bohr magnetons per cell. Number 8: D(E_F) 3.6 states/eV/f.u., spin magnetization 0.00 Bohr magnetons per cell. Number 9: D(E_F) 10.1 states/eV/f.u., spin magnetization 0.00 Bohr magnetons per cell. Number 10: D(E_F) 2.9 states/eV/f.u., spin magnetization 0.00 Bohr magnetons per cell. Number 11: D(E_F) 6.4 states/eV/f.u., spin magnetization 0.00 Bohr magnetons per cell. Number 12: D(E_F) 2.1 states/eV/f.u., spin magnetization 4.00 Bohr magnetons per cell.